Below is HfScNiB after structural relaxation, with properties calculated at the PBE level.

Cell: 4.333 4.333 4.333 Å, 60.00 60.00 60.00°
Fractional positions:
Hf (0.000, 0.000, 0.000)
Sc (0.250, 0.250, 0.250)
Ni (0.750, 0.750, 0.750)
B (0.500, 0.500, 0.500)

Calculated values
Space group = No. 216
E_tot = -26.6 eV/f.u.
Distance to the lowest polymorph of the same formula = 652 meV/atom